[1]
# Cd4Ag3Au4 | Alexandria | PBE-GGA | relaxed
data_Cd4Ag3Au4
_space_group_name_H-M_alt 'P -1'
_space_group_IT_number 2
_cell_length_a 3.069
_cell_length_b 4.138
_cell_length_c 16.645
_cell_angle_alpha 96.92
_cell_angle_beta 95.15
_cell_angle_gamma 90.31
loop_
_space_group_symop_operation_xyz
'x,y,z'
'-x,-y,-z'
loop_
_atom_site_label
_atom_site_fract_x
_atom_site_fract_y
_atom_site_fract_z
Cd1 0.090 0.090 0.180
Cd2 0.276 0.275 0.552
Ag1 0.000 0.000 0.000
Ag2 0.366 0.366 0.731
Au1 0.180 0.180 0.361
Au2 0.456 0.455 0.911
# **Offset from the most stable computed form**: 0.000 eV per atom
# **Calculated volume**: 208.9 Å³ per cell
# **DOS at the Fermi energy**: 3.02 states/eV per cell
# **Calculated formation energy**: -108 meV per atom

***

[2]
# Cd7AgAu4 | Alexandria | PBE-GGA | relaxed
data_Cd7AgAu4
_space_group_name_H-M_alt 'P -1'
_space_group_IT_number 2
_cell_length_a 5.505
_cell_length_b 6.134
_cell_length_c 7.777
_cell_angle_alpha 108.07
_cell_angle_beta 94.07
_cell_angle_gamma 94.77
loop_
_space_group_symop_operation_xyz
'x,y,z'
'-x,-y,-z'
loop_
_atom_site_label
_atom_site_fract_x
_atom_site_fract_y
_atom_site_fract_z
Cd1 0.000 0.000 0.000
Cd2 0.173 0.732 0.626
Cd3 0.250 0.531 0.938
Cd4 0.358 0.208 0.579
Ag1 0.500 0.000 0.000
Au1 0.124 0.827 0.285
Au2 0.319 0.379 0.265
# **Offset from the most stable computed form**: 0.000 eV per atom
# **Calculated volume**: 247.5 Å³ per cell
# **DOS at the Fermi energy**: 2.51 states/eV per cell
# **Calculated formation energy**: -105 meV per atom

***

[3]
# CdAg3Au6 | Alexandria | PBE-GGA | relaxed
data_CdAg3Au6
_space_group_name_H-M_alt 'C m c 21'
_space_group_IT_number 36
_cell_length_a 9.926
_cell_length_b 14.702
_cell_length_c 5.305
_cell_angle_alpha 90.00
_cell_angle_beta 90.00
_cell_angle_gamma 90.00
loop_
_space_group_symop_operation_xyz
'x,y,z'
'-x,-y,z+1/2'
'-x,y,z'
'x,-y,z+1/2'
'x+1/2,y+1/2,z'
'-x+1/2,-y+1/2,z+1/2'
'-x+1/2,y+1/2,z'
'x+1/2,-y+1/2,z+1/2'
loop_
_atom_site_label
_atom_site_fract_x
_atom_site_fract_y
_atom_site_fract_z
Cd1 0.000 0.176 0.000
Ag1 0.000 0.382 0.938
Ag2 0.203 0.094 0.347
Au1 0.000 0.024 0.668
Au2 0.000 0.261 0.495
Au3 0.140 0.442 0.407
Au4 0.249 0.279 0.234
# **Offset from the most stable computed form**: 0.104 eV per atom
# **Calculated volume**: 774.2 Å³ per cell
# **DOS at the Fermi energy**: 12.23 states/eV per cell
# **Calculated formation energy**: 35 meV per atom

***

[4]
# Cd5Ag3Au3 | Alexandria | PBE-GGA | relaxed
data_Cd5Ag3Au3
_space_group_name_H-M_alt 'P -6 2 m'
_space_group_IT_number 189
_space_group_name_Hall 'P -6 -2'
_cell_length_a 10.0467
_cell_length_b 10.0467
_cell_length_c 2.8647
_cell_angle_alpha 90.00
_cell_angle_beta 90.00
_cell_angle_gamma 120.00
loop_
_atom_site_label
_atom_site_fract_x
_atom_site_fract_y
_atom_site_fract_z
Cd1 0.0000 0.2030 0.0000
Cd2 0.3333 0.6667 0.0000
Ag1 0.0000 0.4799 0.0000
Au1 0.0000 0.7228 0.5000
# **Calculated volume**: 250.4 Å³ per cell
# **DOS at the Fermi energy**: 2.80 states/eV per cell
# **Calculated formation energy**: 71 meV per atom

***

[5]
# CdAg7Au4 | Alexandria | PBE-GGA | relaxed
data_CdAg7Au4
_space_group_name_H-M_alt 'C 1 2/m 1'
_space_group_IT_number 12
_cell_length_a 10.589
_cell_length_b 5.148
_cell_length_c 10.245
_cell_angle_alpha 90.00
_cell_angle_beta 121.11
_cell_angle_gamma 90.00
loop_
_space_group_symop_operation_xyz
'x,y,z'
'-x,-y,-z'
'-x,y,-z'
'x,-y,z'
'x+1/2,y+1/2,z'
'-x+1/2,-y+1/2,-z'
'-x+1/2,y+1/2,-z'
'x+1/2,-y+1/2,z'
loop_
_atom_site_label
_atom_site_fract_x
_atom_site_fract_y
_atom_site_fract_z
Cd1 0.000 0.000 0.000
Ag1 0.000 0.500 0.000
Ag2 0.036 0.000 0.381
Ag3 0.159 0.500 0.549
Ag4 0.206 0.000 0.916
Au1 0.078 0.500 0.771
Au2 0.225 0.500 0.314
# **Calculated volume**: 478.2 Å³ per cell
# **DOS at the Fermi energy**: 4.68 states/eV per cell
# **Calculated formation energy**: 116 meV per atom

***

[6]
# Cd9Ag2Au | Alexandria | PBE-GGA | relaxed
data_Cd9Ag2Au
_space_group_name_H-M_alt 'P -1'
_space_group_IT_number 2
_cell_length_a 5.436
_cell_length_b 6.679
_cell_length_c 7.062
_cell_angle_alpha 83.48
_cell_angle_beta 82.71
_cell_angle_gamma 82.14
loop_
_space_group_symop_operation_xyz
'x,y,z'
'-x,-y,-z'
loop_
_atom_site_label
_atom_site_fract_x
_atom_site_fract_y
_atom_site_fract_z
Cd1 0.000 0.000 0.000
Cd2 0.021 0.341 0.668
Cd3 0.244 0.905 0.583
Cd4 0.272 0.260 0.242
Cd5 0.487 0.816 0.168
Ag1 0.237 0.587 0.920
Au1 0.500 0.500 0.500
# **Calculated volume**: 250.7 Å³ per cell
# **DOS at the Fermi energy**: 2.68 states/eV per cell
# **Calculated formation energy**: -38 meV per atom